[1]
Ca8SbN2 | Alexandria via LeMat-Bulk | PBE-GGA | relaxed; uncorrected formation energy = -0.199 eV/atom; SG = P4/mmm (123); calculated volume = 26.291 Å³/atom
1.0
6.494 0.000 0.000
0.000 6.494 0.000
0.000 0.000 6.858
Ca Sb N
8 1 2
direct
0.754 0.754 0.212
0.754 0.246 0.788
0.754 0.754 0.788
0.754 0.246 0.212
0.246 0.754 0.212
0.246 0.754 0.788
0.246 0.246 0.212
0.246 0.246 0.788
0.500 0.500 0.500
0.500 0.000 0.000
0.000 0.500 0.000



[2]
Na5Pr3Cl12 | Alexandria via LeMat-Bulk | PBE-GGA | relaxed; uncorrected formation energy = -1.844 eV/atom; SG = Ia-3d (230); calculated volume = 27.333 Å³/atom
1.0
-4.024 0.461 -13.571
8.481 -11.159 2.033
-11.431 -1.189 8.276
Pr Na Cl
12 20 48
direct
0.750 0.375 0.125
0.875 0.750 0.125
0.375 0.750 0.625
0.250 0.125 0.375
0.875 0.125 0.250
0.375 0.625 0.250
0.625 0.375 0.750
0.125 0.875 0.750
0.750 0.875 0.625
0.625 0.250 0.375
0.125 0.250 0.875
0.250 0.625 0.875
0.125 0.375 0.250
0.000 0.500 0.000
0.000 0.000 0.000
0.375 0.250 0.125
0.500 0.000 0.500
0.500 0.500 0.000
0.125 0.750 0.375
0.750 0.125 0.875
0.750 0.625 0.375
0.375 0.125 0.750
0.625 0.875 0.250
0.500 0.500 0.500
0.500 0.000 0.000
0.000 0.000 0.500
0.250 0.375 0.625
0.250 0.875 0.125
0.000 0.500 0.500
0.875 0.250 0.625
0.625 0.750 0.875
0.875 0.625 0.750
0.724 0.134 0.049
0.325 0.549 0.415
0.951 0.366 0.276
0.549 0.224 0.134
0.590 0.724 0.675
0.951 0.585 0.175
0.325 0.776 0.410
0.085 0.910 0.134
0.585 0.951 0.675
0.724 0.590 0.175
0.776 0.451 0.366
0.825 0.915 0.049
0.134 0.724 0.549
0.366 0.415 0.090
0.090 0.915 0.366
0.410 0.134 0.585
0.090 0.175 0.224
0.451 0.675 0.085
0.825 0.910 0.276
0.134 0.410 0.085
0.366 0.951 0.776
0.585 0.634 0.410
0.915 0.825 0.549
0.776 0.325 0.910
0.415 0.366 0.590
0.085 0.175 0.451
0.224 0.675 0.090
0.175 0.090 0.724
0.634 0.049 0.224
0.866 0.590 0.915
0.549 0.325 0.915
0.590 0.866 0.415
0.910 0.825 0.776
0.910 0.085 0.634
0.866 0.276 0.451
0.175 0.085 0.951
0.634 0.585 0.910
0.415 0.049 0.325
0.276 0.410 0.825
0.224 0.549 0.634
0.915 0.090 0.866
0.675 0.224 0.590
0.451 0.776 0.866
0.049 0.415 0.825
0.410 0.276 0.325
0.049 0.634 0.724
0.675 0.451 0.585
0.276 0.866 0.951



[3]
CaRe2As2 | Alexandria via LeMat-Bulk | PBE-GGA | relaxed; E above lowest polymorph = 0.0 kJ/mol of atoms; SG = I4/mmm (139); energy of formation from the pure elements = -0.68 eV per formula unit; calculated volume = 19.902 Å³/atom
1.0
-1.042 -2.048 -3.204
3.800 -0.438 -0.956
1.608 -6.667 1.313
Re As Ca
2 2 1
direct
0.750 0.250 0.500
0.250 0.750 0.500
0.374 0.374 0.252
0.626 0.626 0.748
0.000 0.000 0.000



[4]
TiGaSbI2 | Alexandria via LeMat-Bulk | PBE-GGA | relaxed; E above lowest polymorph = 0.0 kJ/mol of atoms; uncorrected formation energy = -0.014 eV/atom; SG = P4/mmm (123); calculated volume = 33.658 Å³/atom
1.0
5.591 0.000 0.000
0.000 5.591 0.000
0.000 0.000 5.384
I Sb Ga Ti
2 1 1 1
direct
0.000 0.500 0.000
0.500 0.000 0.000
0.000 0.000 0.500
0.500 0.500 0.500
0.000 0.000 0.000



[5]
LiTlRu2 | Alexandria via LeMat-Bulk | PBE-GGA | relaxed; E above lowest polymorph = 0.0 kJ/mol of atoms; SG = P4mm (99); energy of formation from the pure elements = 0.92 eV per formula unit; calculated volume = 15.444 Å³/atom
1.0
3.024 0.000 0.000
0.000 3.024 0.000
0.000 0.000 6.755
Li Ru Tl
1 2 1
direct
0.500 0.500 0.775
0.000 0.000 0.993
0.500 0.500 0.214
0.000 0.000 0.517



[6]
KTiPCl2 | Alexandria via LeMat-Bulk | PBE-GGA | relaxed; E above lowest polymorph = 152.9 kJ/mol of atoms; uncorrected formation energy = 0.519 eV/atom; SG = P4/mmm (123); calculated volume = 34.335 Å³/atom
1.0
5.444 0.000 0.000
0.000 5.444 0.000
0.000 0.000 5.792
P K Cl Ti
1 1 2 1
direct
0.000 0.000 0.500
0.000 0.000 0.000
0.000 0.500 0.000
0.500 0.000 0.000
0.500 0.500 0.500



[7]
TlTcSe2O8 | Alexandria via LeMat-Bulk | PBE-GGA | relaxed; uncorrected formation energy = -0.845 eV/atom; SG = C2/m (12); calculated volume = 18.275 Å³/atom
1.0
5.767 0.354 -0.457
2.974 4.953 -0.457
-0.375 -0.228 8.010
Tl Tc Se O
1 1 2 8
direct
0.000 0.000 0.500
0.000 0.000 0.000
0.626 0.626 0.209
0.374 0.374 0.791
0.741 0.258 0.822
0.825 0.825 0.974
0.668 0.668 0.415
0.332 0.332 0.585
0.175 0.175 0.026
0.258 0.741 0.822
0.742 0.259 0.178
0.259 0.742 0.178



[8]
ThNiHg | Alexandria via LeMat-Bulk | PBE-GGA | relaxed; SG = C2/m (12); energy of formation from the pure elements = -1.09 eV per formula unit; calculated volume = 21.940 Å³/atom
1.0
4.278 0.000 0.000
0.000 5.168 0.014
-2.139 -1.101 5.951
Ni Hg Th
2 2 2
direct
0.773 0.162 0.546
0.227 0.838 0.454
0.580 0.781 0.159
0.420 0.219 0.841
0.864 0.697 0.729
0.136 0.303 0.271



[9]
Tb2DyPt | Alexandria via LeMat-Bulk | PBE-GGA | relaxed; E above lowest polymorph = 3.8 kJ/mol of atoms; SG = Cmcm (63); energy of formation from the pure elements = -2.68 eV per formula unit; calculated volume = 27.327 Å³/atom
1.0
3.800 -0.158 0.000
-1.647 6.123 0.000
0.000 0.000 9.502
Tb Dy Pt
4 2 2
direct
0.137 0.273 0.436
0.863 0.727 0.564
0.863 0.727 0.936
0.137 0.273 0.064
0.428 0.856 0.250
0.572 0.144 0.750
0.740 0.479 0.250
0.260 0.521 0.750



[10]
Ca5LaBi5 | Alexandria via LeMat-Bulk | PBE-GGA | relaxed; SG = C2/m (12); energy of formation from the pure elements = -7.73 eV per formula unit; calculated volume = 38.656 Å³/atom
1.0
6.474 0.000 0.000
-3.237 7.635 0.080
0.000 -2.766 8.574
Ca La Bi
5 1 5
direct
0.677 0.355 0.322
0.682 0.363 0.859
0.000 0.000 0.500
0.318 0.637 0.141
0.323 0.645 0.678
0.000 0.000 0.000
0.845 0.690 0.182
0.836 0.671 0.661
0.500 0.000 0.000
0.164 0.329 0.339
0.155 0.310 0.818



[11]
YTe2SN | Alexandria via LeMat-Bulk | PBE-GGA | relaxed; E above lowest polymorph = 40.2 kJ/mol of atoms; uncorrected formation energy = 0.644 eV/atom; SG = P4/mmm (123); calculated volume = 29.075 Å³/atom
1.0
5.983 0.000 0.000
0.000 5.983 0.000
0.000 0.000 4.061
Y S Te N
1 1 2 1
direct
0.000 0.000 0.000
0.500 0.500 0.500
0.000 0.500 0.000
0.500 0.000 0.000
0.000 0.000 0.500



[12]
AcLa15Tb4 | Alexandria via LeMat-Bulk | PBE-GGA | relaxed; SG = P4/mmm (123); energy of formation from the pure elements = 0.31 eV per formula unit; calculated volume = 36.171 Å³/atom
1.0
5.246 0.000 0.000
0.000 5.246 0.000
0.000 0.000 26.287
Ac La Tb
1 15 4
direct
0.000 0.000 0.000
0.500 0.500 0.000
0.500 0.500 0.205
0.500 0.500 0.401
0.500 0.500 0.599
0.500 0.500 0.795
0.500 0.000 0.105
0.500 0.000 0.302
0.500 0.000 0.500
0.500 0.000 0.698
0.500 0.000 0.895
0.000 0.500 0.105
0.000 0.500 0.302
0.000 0.500 0.500
0.000 0.500 0.698
0.000 0.500 0.895
0.000 0.000 0.204
0.000 0.000 0.401
0.000 0.000 0.599
0.000 0.000 0.796